# 1
A plane-wave DFT calculation with PBE-GGA was carried out for a geometry-optimized Ag2RhAu structure.

```
Ag2RhAu
1.0
2.0721 1.7025 -0.7877
-2.3702 0.1651 -1.4724
-3.3063 6.8414 6.0893
Ag Rh Au
2 1 1
direct
0.0000 0.0000 0.7575
0.0000 0.0000 0.2425
0.5000 0.5000 0.0000
0.5000 0.5000 0.5000
```

Summary:
- ΔE_f (eV/atom) = 0.1625
- Fermi-level density of states (states/eV/cell) = 3.244

=====

# 2
A plane-wave DFT calculation with PBE-GGA was carried out for a geometry-optimized AcSm2Ru2 structure.

```
AcSm2Ru2
1.0
-2.1316 1.3308 -3.9494
-4.0476 0.3961 2.3179
4.6084 4.8444 2.1314
Ru Sm Ac
2 2 1
direct
0.4217 0.4217 0.7971
0.5783 0.5783 0.2029
0.7529 0.2471 0.5000
0.2471 0.7529 0.5000
0.0000 0.0000 0.0000
```

Summary:
- ΔE_f (eV/atom) = -0.0873
- Fermi-level density of states (states/eV/cell) = 4.002

=====

# 3
A plane-wave DFT calculation with PBE-GGA was carried out for a geometry-optimized Li2AlIr structure.

```
Li2AlIr
1.0
4.3036 0.0000 0.0000
0.0000 3.6088 0.0000
0.0000 0.0000 3.6088
Al Li Ir
1 2 1
direct
0.5000 0.5000 0.0000
0.0000 0.5000 0.5000
0.0000 0.0000 0.0000
0.5000 0.0000 0.5000
```

Summary:
- ΔE_f (eV/atom) = -0.3369
- Fermi-level density of states (states/eV/cell) = 2.188